(1)
Compound: TaB2S4
Source: Alexandria via LeMat-Bulk
Functional: PBE-GGA
Structure: relaxed

Lattice parameters (Å, degrees): 7.059 7.059 5.279 90.00 90.00 90.00
Space group I4/m (No. 87)
One atom of each set of equivalent atoms:
Ta 0.000 0.000 0.000
B 0.000 0.500 0.250
S 0.117 0.337 0.000

Spin magnetization, μB per cell: 6.0
Crystal system: tetragonal
Total energy, eV/atom: -6.03

=====

(2)
Compound: TaB3S
Source: Alexandria via LeMat-Bulk
Functional: PBE-GGA
Structure: relaxed

Lattice parameters (Å, degrees): 3.791 3.791 3.791 90.00 90.00 90.00
Space group Pm-3m (No. 221)
One atom of each set of equivalent atoms:
Ta 0.000 0.000 0.000
B 0.000 0.500 0.500
S 0.500 0.500 0.500

Spin magnetization, μB per cell: 0.0
Crystal system: cubic
Energy relative to the lowest polymorph listed for this composition, eV/atom: 0.000
Total energy, eV/atom: -5.73

=====

(3)
Compound: TaBS2
Source: Alexandria via LeMat-Bulk
Functional: PBE-GGA
Structure: relaxed

Lattice parameters (Å, degrees): 5.267 5.267 8.675 90.00 90.00 90.00
Space group I-42d (No. 122)
One atom of each set of equivalent atoms:
Ta 0.000 0.000 0.000
B 0.000 0.000 0.500
S 0.173 0.250 0.625

Spin magnetization, μB per cell: 0.0
Crystal system: tetragonal
Total energy, eV/atom: -6.58

=====

(4)
Compound: Ta2BS6
Source: Alexandria via LeMat-Bulk
Functional: PBE-GGA
Structure: relaxed

Lattice parameters (Å, degrees): 14.114 3.296 10.802 90.00 128.14 90.00
Space group C2/m (No. 12)
One atom of each set of equivalent atoms:
Ta 0.194 0.000 0.292
B 0.000 0.500 0.000
S 0.020 0.500 0.182
S 0.160 0.000 0.506
S 0.223 0.500 0.151

Spin magnetization, μB per cell: 0.0
Crystal system: monoclinic
Total energy, eV/atom: -6.76

=====

(5)
Compound: Ta3BS
Source: Alexandria via LeMat-Bulk
Functional: PBE-GGA
Structure: relaxed

Lattice parameters (Å, degrees): 4.349 4.349 4.349 90.00 90.00 90.00
Space group Pm-3m (No. 221)
One atom of each set of equivalent atoms:
Ta 0.000 0.000 0.500
B 0.000 0.000 0.000
S 0.500 0.500 0.500

Spin magnetization, μB per cell: 0.0
Crystal system: cubic
Energy relative to the lowest polymorph listed for this composition, eV/atom: 0.000
Total energy, eV/atom: -8.80

=====

(6)
Compound: TaBS3
Source: Alexandria via LeMat-Bulk
Functional: PBE-GGA
Structure: relaxed

Lattice parameters (Å, degrees): 4.117 4.117 4.117 90.00 90.00 90.00
Space group Pm-3m (No. 221)
One atom of each set of equivalent atoms:
Ta 0.000 0.000 0.000
B 0.500 0.500 0.500
S 0.000 0.500 0.500

Spin magnetization, μB per cell: 0.0
Crystal system: cubic
Energy relative to the lowest polymorph listed for this composition, eV/atom: 1.054
Total energy, eV/atom: -5.63

=====

(7)
Compound: TaBS3
Source: Alexandria via LeMat-Bulk
Functional: PBE-GGA
Structure: relaxed

Lattice parameters (Å, degrees): 4.791 4.791 4.791 90.00 90.00 90.00
Space group Pm-3m (No. 221)
One atom of each set of equivalent atoms:
Ta 0.000 0.000 0.000
B 0.500 0.500 0.500
S 0.000 0.000 0.500

Spin magnetization, μB per cell: 0.0
Crystal system: cubic
Energy relative to the lowest polymorph listed for this composition, eV/atom: 1.068
Total energy, eV/atom: -5.62

=====

(8)
Compound: TaB3S
Source: Alexandria via LeMat-Bulk
Functional: PBE-GGA
Structure: relaxed

Lattice parameters (Å, degrees): 4.381 4.381 4.381 90.00 90.00 90.00
Space group Pm-3m (No. 221)
One atom of each set of equivalent atoms:
Ta 0.000 0.000 0.000
B 0.000 0.000 0.500
S 0.500 0.500 0.500

Spin magnetization, μB per cell: 0.0
Crystal system: cubic
Energy relative to the lowest polymorph listed for this composition, eV/atom: 0.518
Total energy, eV/atom: -5.21